[1]
# Cs3ReAs

Crystalline Cs3ReAs at its relaxed geometry (PBE, the Alexandria database).

Calculated values
The final energy is -2.6901 eV per atom. For the formation energy, the calculation gives 1242 meV per atom. The energy above the most stable polymorph in this dataset comes out at 0.000 eV per atom.

Cell: 7.016 7.016 7.016 Å, 90.00 90.00 90.00°
Atoms (fractional coordinates):
Cs1 0.000 0.000 0.500
Cs2 0.000 0.500 0.000
Cs3 0.500 0.000 0.000
Re1 0.500 0.500 0.500
As1 0.000 0.000 0.000

=====

[2]
# CsRe3As

Crystalline CsRe3As at its relaxed geometry (PBE, the Alexandria database).

Calculated values
The final energy is -4.3985 eV per atom. For the formation energy, the calculation gives 4171 meV per atom. The energy above the most stable polymorph in this dataset comes out at 2.010 eV per atom.

Cell: 4.936 4.936 4.936 Å, 90.00 90.00 90.00°
Atoms (fractional coordinates):
Cs1 0.000 0.000 0.000
Re1 0.000 0.000 0.500
Re2 0.000 0.500 0.000
Re3 0.500 0.000 0.000
As1 0.500 0.500 0.500

=====

[3]
# CsRe2AsRu

Crystalline CsRe2AsRu at its relaxed geometry (PBE, the Alexandria database).

Calculated values
The final energy is -5.6112 eV per atom. For the formation energy, the calculation gives 2324 meV per atom.

Cell: 4.574 4.574 5.943 Å, 90.00 90.00 90.00°
Atoms (fractional coordinates):
Cs1 0.000 0.000 0.000
Re1 0.000 0.500 0.500
Re2 0.500 0.000 0.500
As1 0.000 0.000 0.500
Ru1 0.500 0.500 0.000

=====

[4]
# CsReAsSe2

Crystalline CsReAsSe2 at its relaxed geometry (PBE, the Alexandria database).

Calculated values
The final energy is -2.1854 eV per atom. For the uncorrected formation energy, the calculation gives 2.7986 eV per atom. The energy above the most stable polymorph in this dataset comes out at 2.765 eV per atom.

Cell: 5.426 5.426 5.690 Å, 90.00 90.00 90.00°
Atoms (fractional coordinates):
Cs1 0.000 0.000 0.000
Re1 0.500 0.500 0.500
As1 0.000 0.000 0.500
Se1 0.000 0.500 0.000
Se2 0.500 0.000 0.000

=====

[5]
# CsReAsSe2

Crystalline CsReAsSe2 at its relaxed geometry (PBE, the Alexandria database).

Calculated values
The final energy is -4.9506 eV per atom. For the uncorrected formation energy, the calculation gives 0.0334 eV per atom. The energy above the most stable polymorph in this dataset comes out at 0.000 eV per atom.

Cell: 5.197 5.197 4.846 Å, 90.00 90.00 90.00°
Atoms (fractional coordinates):
Cs1 0.000 0.000 0.000
Re1 0.500 0.500 0.500
As1 0.500 0.500 0.000
Se1 0.000 0.500 0.500
Se2 0.500 0.000 0.500

=====

[6]
# CsReAs2Se

Crystalline CsReAs2Se at its relaxed geometry (PBE, the Alexandria database).

Calculated values
The final energy is -2.2632 eV per atom. For the uncorrected formation energy, the calculation gives 2.9539 eV per atom. The energy above the most stable polymorph in this dataset comes out at 2.824 eV per atom.

Cell: 5.513 5.513 5.306 Å, 90.00 90.00 90.00°
Atoms (fractional coordinates):
Cs1 0.000 0.000 0.000
Re1 0.500 0.500 0.500
As1 0.000 0.500 0.000
As2 0.500 0.000 0.000
Se1 0.000 0.000 0.500

=====

[7]
# CsReAs2Se

Crystalline CsReAs2Se at its relaxed geometry (PBE, the Alexandria database).

Calculated values
The final energy is -5.0873 eV per atom. For the uncorrected formation energy, the calculation gives 0.1297 eV per atom. The energy above the most stable polymorph in this dataset comes out at 0.000 eV per atom.

Cell: 4.856 4.856 5.606 Å, 90.00 90.00 90.00°
Atoms (fractional coordinates):
Cs1 0.000 0.000 0.000
Re1 0.500 0.500 0.500
As1 0.000 0.500 0.500
As2 0.500 0.000 0.500
Se1 0.500 0.500 0.000

=====

[8]
# CsReSnAs2

Crystalline CsReSnAs2 at its relaxed geometry (PBE, the Alexandria database).

Calculated values
The final energy is -5.0252 eV per atom. For the formation energy, the calculation gives 295 meV per atom.

Cell: 4.977 4.977 5.424 Å, 90.00 90.00 90.00°
Atoms (fractional coordinates):
Cs1 0.000 0.000 0.000
Re1 0.500 0.500 0.500
Sn1 0.500 0.500 0.000
As1 0.000 0.500 0.500
As2 0.500 0.000 0.500

=====

[9]
# CsAs3Rh

Crystalline CsAs3Rh at its relaxed geometry (PBE, the Alexandria database).

Calculated values
The final energy is -4.1628 eV per atom. For the formation energy, the calculation gives 268 meV per atom.

Cell: 5.064 5.064 5.064 Å, 90.00 90.00 90.00°
Atoms (fractional coordinates):
Cs1 0.000 0.000 0.000
As1 0.000 0.500 0.500
As2 0.500 0.000 0.500
As3 0.500 0.500 0.000
Rh1 0.500 0.500 0.500

=====

[10]
# CsAsRh2

Crystalline CsAsRh2 at its relaxed geometry (PBE, the Alexandria database).

Calculated values
The final energy is -4.8507 eV per atom. For the formation energy, the calculation gives 201 meV per atom.

Cell: 5.371 5.371 15.646 Å, 90.00 90.00 90.00°
Atoms (fractional coordinates):
Cs1 0.000 0.000 0.000
Cs2 0.000 0.500 0.250
Cs3 0.500 0.000 0.750
Cs4 0.500 0.500 0.500
As1 0.000 0.000 0.500
As2 0.000 0.500 0.750
As3 0.500 0.000 0.250
As4 0.500 0.500 0.000
Rh1 0.053 0.250 0.625
Rh2 0.250 0.553 0.875
Rh3 0.250 0.947 0.375
Rh4 0.447 0.250 0.125
Rh5 0.553 0.750 0.125
Rh6 0.750 0.053 0.375
Rh7 0.750 0.447 0.875
Rh8 0.947 0.750 0.625

=====

[11]
# CsAs2Rh2

Crystalline CsAs2Rh2 at its relaxed geometry (PBE, the Alexandria database).

Calculated values
The final energy is -5.3037 eV per atom. For the formation energy, the calculation gives -333 meV per atom.

Cell: 4.073 4.073 7.332 Å, 90.00 90.00 90.00°
Atoms (fractional coordinates):
Cs1 0.000 0.000 0.000
As1 0.500 0.500 0.303
As2 0.500 0.500 0.697
Rh1 0.000 0.500 0.500
Rh2 0.500 0.000 0.500

=====

[12]
# CsAs2Rh4

Crystalline CsAs2Rh4 at its relaxed geometry (PBE, the Alexandria database).

Calculated values
The final energy is -6.0036 eV per atom. For the formation energy, the calculation gives -352 meV per atom.

Cell: 4.005 19.132 3.871 Å, 90.00 90.00 90.00°
Atoms (fractional coordinates):
Cs1 0.000 0.000 0.000
Cs2 0.500 0.500 0.000
As1 0.000 0.377 0.500
As2 0.000 0.623 0.500
As3 0.500 0.123 0.500
As4 0.500 0.877 0.500
Rh1 0.000 0.196 0.500
Rh2 0.000 0.297 0.000
Rh3 0.000 0.703 0.000
Rh4 0.000 0.804 0.500
Rh5 0.500 0.203 0.000
Rh6 0.500 0.304 0.500
Rh7 0.500 0.696 0.500
Rh8 0.500 0.797 0.000